11
Lattice="6.489 0.000 0.000 -0.592 6.634 0.000 -1.232 -1.523 8.338" Properties=species:S:1:pos:R:3 comment="PBE TbPr3Tm7, optimized geometry" e_above_lowest_polymorph_ev_per_atom=0.000 rho_kg_m3=8162 delta_e_f_ev_per_atom=0.124 dos_at_fermi_per_ev_atom=1.569 magnetic_moment_mub_per_fu=0.0 pbc="T T T"
Tb 0.000 0.000 0.000
Pr 1.280 2.390 2.806
Pr 2.628 -0.761 4.169
Pr 3.384 2.721 5.532
Tm -0.296 3.317 0.000
Tm -0.524 0.397 5.382
Tm 0.123 3.718 5.955
Tm 1.888 0.143 7.669
Tm 2.777 4.968 0.669
Tm 4.541 1.393 2.383
Tm 5.189 4.714 2.956